The following is a PBE with a Hubbard U calculation of a relaxed VHN2F crystal, from Alexandria.

* excess energy over the best structure of this formula in the dataset: 0 meV/atom

Cell and atoms, written as CIF:
```
data_VHN2F
_chemical_formula_sum 'V1 H1 N2 F1'
_cell_length_a 3.810
_cell_length_b 3.810
_cell_length_c 3.933
_cell_angle_alpha 90.00
_cell_angle_beta 90.00
_cell_angle_gamma 90.00
_symmetry_space_group_name_H-M 'P 1'
_symmetry_Int_Tables_number 1
_symmetry_space_group_name_Hall 'P 1'
loop_
_atom_site_label
_atom_site_fract_x
_atom_site_fract_y
_atom_site_fract_z
_atom_site_occupancy
H1 0.500 0.500 0.500 1
N1 0.000 0.500 0.000 1
N2 0.500 0.000 0.000 1
F1 0.000 0.000 0.500 1
V1 0.000 0.000 0.000 1
```